Run A
VASP calculation (GGA-PBE) on crystalline PmTm2Ag at its relaxed geometry.

Computed properties:
N(E_F) ... 4.94 states/eV/f.u.
Space-group type ... No. 123
ρ ... 8.8 g cm⁻³

The structure in POSCAR format:
```
PmTm2Ag
1.0
3.563 0.000 0.000
0.000 3.563 0.000
0.000 0.000 8.776
Pm Tm Ag
1 2 1
Direct
0.000 0.000 0.000
0.500 0.500 0.292
0.500 0.500 0.708
0.000 0.000 0.500
```


Run B
VASP calculation (GGA-PBE) on crystalline PmTm2Ag at its relaxed geometry.

Computed properties:
N(E_F) ... 5.60 states/eV/f.u.
Space-group type ... No. 225
ρ ... 9.0 g cm⁻³

The structure in POSCAR format:
```
PmTm2Ag
1.0
0.000 3.789 3.789
3.789 0.000 3.789
3.789 3.789 0.000
Pm Tm Ag
1 2 1
Direct
0.000 0.000 0.000
0.250 0.250 0.250
0.750 0.750 0.750
0.500 0.500 0.500
```


Run C
VASP calculation (GGA-PBE) on crystalline PmTm2Ag at its relaxed geometry.

Computed properties:
N(E_F) ... 5.03 states/eV/f.u.
Space-group type ... No. 166
ρ ... 8.6 g cm⁻³

The structure in POSCAR format:
```
PmTm2Ag
1.0
1.778 1.026 10.399
-1.778 1.026 10.399
0.000 -2.053 10.399
Pm Tm Ag
1 2 1
Direct
0.000 0.000 0.000
0.240 0.240 0.240
0.760 0.760 0.760
0.500 0.500 0.500
```


Which is most stable, and by how much? run A, by 123 meV/atom.


Run A
VASP calculation (GGA-PBE) on crystalline Pm2TmAg at its relaxed geometry.

Computed properties:
N(E_F) ... 4.98 states/eV/f.u.
Space-group type ... No. 166
ρ ... 7.7 g cm⁻³

The structure in POSCAR format:
```
Pm2TmAg
1.0
1.733 1.000 11.804
-1.733 1.000 11.804
0.000 -2.001 11.804
Pm Tm Ag
2 1 1
Direct
0.086 0.086 0.086
0.914 0.914 0.914
0.500 0.500 0.500
0.000 0.000 0.000
```


Run B
VASP calculation (GGA-PBE) on crystalline Pm2TmAg at its relaxed geometry.

Computed properties:
N(E_F) ... 3.58 states/eV/f.u.
Space-group type ... No. 225
ρ ... 8.3 g cm⁻³

The structure in POSCAR format:
```
Pm2TmAg
1.0
0.000 3.848 3.848
3.848 0.000 3.848
3.848 3.848 0.000
Pm Tm Ag
2 1 1
Direct
0.250 0.250 0.250
0.750 0.750 0.750
0.000 0.000 0.000
0.500 0.500 0.500
```


Run C
VASP calculation (GGA-PBE) on crystalline Pm2TmAg at its relaxed geometry.

Computed properties:
N(E_F) ... 4.71 states/eV/f.u.
Space-group type ... No. 160
ρ ... 7.9 g cm⁻³

The structure in POSCAR format:
```
Pm2TmAg
1.0
1.807 1.043 10.558
-1.807 1.043 10.558
0.000 -2.087 10.558
Pm Tm Ag
2 1 1
Direct
0.000 0.000 0.000
0.180 0.180 0.180
0.757 0.757 0.757
0.589 0.589 0.589
```


Which is most stable, and by how much? run C, by 45 meV/atom.


Run A
VASP calculation (GGA-PBE) on crystalline Pm2TmAg at its relaxed geometry.

Computed properties:
N(E_F) ... 6.47 states/eV/f.u.
Space-group type ... No. 123
ρ ... 8.0 g cm⁻³

The structure in POSCAR format:
```
Pm2TmAg
1.0
3.656 0.000 0.000
0.000 3.656 0.000
0.000 0.000 8.790
Pm Tm Ag
2 1 1
Direct
0.000 0.000 0.221
0.000 0.000 0.779
0.500 0.500 0.500
0.500 0.500 0.000
```


Run B
VASP calculation (GGA-PBE) on crystalline Pm2TmAg at its relaxed geometry.

Computed properties:
N(E_F) ... 5.22 states/eV/f.u.
Space-group type ... No. 63
ρ ... 8.1 g cm⁻³

The structure in POSCAR format:
```
Pm2TmAg
1.0
1.864 -6.228 0.000
1.864 6.228 0.000
0.000 0.000 10.058
Pm Tm Ag
4 2 2
Direct
0.131 0.869 0.549
0.131 0.869 0.951
0.869 0.131 0.049
0.869 0.131 0.451
0.443 0.557 0.750
0.557 0.443 0.250
0.252 0.748 0.250
0.748 0.252 0.750
```


Which is most stable, and by how much? run B, by 14 meV/atom.


Run A
VASP calculation (GGA-PBE) on crystalline PmTmAg2 at its relaxed geometry.

Computed properties:
N(E_F) ... 2.06 states/eV/f.u.
Space-group type ... No. 123
ρ ... 9.0 g cm⁻³

The structure in POSCAR format:
```
PmTmAg2
1.0
3.607 0.000 0.000
0.000 3.607 0.000
0.000 0.000 7.508
Pm Tm Ag
1 1 2
Direct
0.000 0.000 0.000
0.000 0.000 0.500
0.500 0.500 0.272
0.500 0.500 0.728
```


Run B
VASP calculation (GGA-PBE) on crystalline PmTmAg2 at its relaxed geometry.

Computed properties:
N(E_F) ... 3.29 states/eV/f.u.
Space-group type ... No. 225
ρ ... 8.9 g cm⁻³

The structure in POSCAR format:
```
PmTmAg2
1.0
0.000 3.666 3.666
3.666 0.000 3.666
3.666 3.666 0.000
Pm Tm Ag
1 1 2
Direct
0.000 0.000 0.000
0.500 0.500 0.500
0.250 0.250 0.250
0.750 0.750 0.750
```


Which is most stable, and by how much? run A, by 16 meV/atom.


Run A
VASP calculation (GGA-PBE) on crystalline Pm3YAg2 at its relaxed geometry.

Computed properties:
N(E_F) ... 6.93 states/eV/f.u.
Space-group type ... No. 26
ρ ... 7.2 g cm⁻³

The structure in POSCAR format:
```
Pm3YAg2
1.0
5.203 0.000 0.000
0.000 9.341 0.000
0.000 0.000 7.063
Pm Y Ag
6 2 4
Direct
0.000 0.065 0.000
0.000 0.332 0.354
0.000 0.668 0.854
0.000 0.935 0.500
0.500 0.169 0.667
0.500 0.831 0.167
0.500 0.439 0.022
0.500 0.561 0.522
0.000 0.351 0.779
0.000 0.649 0.279
0.500 0.155 0.241
0.500 0.845 0.741
```


Run B
VASP calculation (GGA-PBE) on crystalline Pm3YAg2 at its relaxed geometry.

Computed properties:
N(E_F) ... 8.55 states/eV/f.u.
Space-group type ... No. 72
ρ ... 6.3 g cm⁻³

The structure in POSCAR format:
```
Pm3YAg2
1.0
-3.547 7.119 3.831
3.547 -7.119 3.831
3.547 7.119 -3.831
Pm Y Ag
6 2 4
Direct
0.025 0.750 0.275
0.250 0.250 0.000
0.475 0.750 0.725
0.525 0.250 0.275
0.750 0.750 0.000
0.975 0.250 0.725
0.000 0.500 0.500
0.500 0.000 0.500
0.141 0.196 0.337
0.359 0.696 0.054
0.641 0.304 0.946
0.859 0.804 0.663
```


Which is most stable, and by how much? run A, by 224 meV/atom.


Run A
VASP calculation (GGA-PBE) on crystalline PmY4Ag at its relaxed geometry.

Computed properties:
N(E_F) ... 8.85 states/eV/f.u.
Space-group type ... No. 123
ρ ... 5.6 g cm⁻³

The structure in POSCAR format:
```
PmY4Ag
1.0
3.595 0.000 0.000
0.000 3.595 0.000
0.000 0.000 13.998
Pm Y Ag
1 4 1
Direct
0.000 0.000 0.000
0.000 0.000 0.366
0.000 0.000 0.634
0.500 0.500 0.182
0.500 0.500 0.818
0.500 0.500 0.500
```


Run B
VASP calculation (GGA-PBE) on crystalline PmY4Ag at its relaxed geometry.

Computed properties:
N(E_F) ... 10.01 states/eV/f.u.
Space-group type ... No. 36
ρ ... 5.4 g cm⁻³

The structure in POSCAR format:
```
PmY4Ag
1.0
2.733 -10.554 0.000
2.733 10.554 0.000
0.000 0.000 6.515
Pm Y Ag
2 8 2
Direct
0.135 0.865 0.500
0.865 0.135 0.000
0.067 0.933 0.005
0.258 0.742 0.129
0.324 0.676 0.640
0.465 0.535 0.846
0.535 0.465 0.346
0.676 0.324 0.140
0.742 0.258 0.629
0.933 0.067 0.505
0.398 0.602 0.251
0.602 0.398 0.751
```


Which is most stable, and by how much? run A, by 132 meV/atom.